Below is an optimized crystal structure of LaTmP2, with properties calculated at the PBE level.

The calculation puts the density of states at the Fermi level at 0.39 states/eV per cell. The value obtained for the volume is 25.496 Å³/atom. The total energy is -6.4189 eV per atom. The calculation puts the relative energy among the computed polymorphs at 205 meV per atom. The value obtained for the formation enthalpy at 0 K is -1364 meV per atom. The calculation puts the total magnetization at 0.000 μB/atom.

a b c (Å): 4.060 4.061 7.142
angles (deg): 90.00 90.00 120.00
Positions (direct):
La: 0.000 0.500 0.500
P: 0.333 0.167 0.232
P: 0.667 0.833 0.768
Tm: 0.000 0.500 0.000

Below is an optimized crystal structure of LaTm4P5, with properties calculated at the PBE level.

The calculation puts the density of states at the Fermi level at 1.41 states/eV per cell. The value obtained for the volume is 22.912 Å³/atom. The total energy is -6.5635 eV per atom. The value obtained for the formation enthalpy at 0 K is -1577 meV per atom. The calculation puts the total magnetization at 0.000 μB/atom.

a b c (Å): 4.017 6.950 8.988
angles (deg): 75.11 77.09 73.20
Positions (direct):
P: 0.393 0.319 0.894
P: 0.000 0.500 0.500
P: 0.204 0.902 0.690
P: 0.796 0.098 0.310
P: 0.607 0.681 0.106
Tm: 0.402 0.795 0.400
Tm: 0.799 0.607 0.794
Tm: 0.598 0.205 0.600
Tm: 0.201 0.393 0.206
La: 0.000 0.000 0.000

Below is an optimized crystal structure of La2TmUP4, with properties calculated at the PBE level.

The calculation puts the density of states at the Fermi level at 7.50 states/eV per cell. The value obtained for the volume is 24.309 Å³/atom. The total energy is -7.3181 eV per atom. The value obtained for the formation enthalpy at 0 K is -1411 meV per atom. The calculation puts the total magnetization at 0.252 μB/atom.

a b c (Å): 4.082 7.061 7.142
angles (deg): 109.15 90.00 90.00
Last column: magnetic moment on the atom in μB.
Positions (direct):
P: 0.000 0.252 0.772  -0.03
P: 0.500 0.240 0.227  -0.04
P: 0.500 0.760 0.773  -0.04
P: 0.000 0.748 0.228  -0.03
La: 0.500 0.000 0.500  0.02
La: 0.000 0.500 0.500  0.03
U: 0.000 0.000 0.000  1.85
Tm: 0.500 0.500 0.000  0.00

Below is an optimized crystal structure of LaY2TmP4, with properties calculated at the PBE level.

The calculation puts the density of states at the Fermi level at 0.77 states/eV per cell. The value obtained for the volume is 23.774 Å³/atom. The total energy is -7.0811 eV per atom. The value obtained for the formation enthalpy at 0 K is -1585 meV per atom. The calculation puts the total magnetization at 0.000 μB/atom.

a b c (Å): 4.068 7.039 7.043
angles (deg): 109.41 90.00 90.00
Positions (direct):
P: 0.000 0.240 0.743
P: 0.500 0.757 0.749
P: 0.500 0.243 0.251
P: 0.000 0.760 0.257
Y: 0.000 0.500 0.500
Y: 0.500 0.000 0.500
Tm: 0.000 0.000 0.000
La: 0.500 0.500 0.000

Below is an optimized crystal structure of La2YTmP4, with properties calculated at the PBE level.

The calculation puts the density of states at the Fermi level at 0.70 states/eV per cell. The value obtained for the volume is 24.889 Å³/atom. The total energy is -6.8832 eV per atom. The value obtained for the formation enthalpy at 0 K is -1579 meV per atom. The calculation puts the total magnetization at 0.000 μB/atom.

a b c (Å): 4.132 7.153 7.146
angles (deg): 109.47 90.00 90.00
Positions (direct):
P: 0.000 0.257 0.766
P: 0.500 0.753 0.765
P: 0.500 0.247 0.235
P: 0.000 0.743 0.234
La: 0.000 0.500 0.500
La: 0.500 0.000 0.500
Y: 0.000 0.000 0.000
Tm: 0.500 0.500 0.000

Below is an optimized crystal structure of LaUP2, with properties calculated at the PBE level.

The calculation puts the density of states at the Fermi level at 5.27 states/eV per cell. The value obtained for the volume is 24.692 Å³/atom. The total energy is -7.8127 eV per atom. The calculation puts the relative energy among the computed polymorphs at 195 meV per atom. The value obtained for the formation enthalpy at 0 K is -1054 meV per atom. The calculation puts the total magnetization at 0.668 μB/atom.

a b c (Å): 3.959 3.959 7.625
angles (deg): 74.95 74.95 60.00
Last column: magnetic moment on the atom in μB.
Positions (direct):
P: 0.244 0.244 0.267  -0.07
P: 0.088 0.088 0.736  -0.06
U: 0.498 0.498 0.506  2.27
La: 0.670 0.670 0.990  0.07

Below is an optimized crystal structure of LaU5P6, with properties calculated at the PBE level.

The calculation puts the density of states at the Fermi level at 29.63 states/eV per cell. The value obtained for the volume is 22.485 Å³/atom. The total energy is -8.8496 eV per atom. The value obtained for the formation enthalpy at 0 K is -1031 meV per atom. The calculation puts the total magnetization at 0.920 μB/atom.

a b c (Å): 6.923 6.905 6.913
angles (deg): 60.04 80.39 70.47
Last column: magnetic moment on the atom in μB.
Positions (direct):
P: 0.258 0.569 0.345  -0.07
P: 0.746 0.739 0.000  -0.07
P: 0.258 0.913 0.655  -0.07
P: 0.742 0.431 0.655  -0.07
P: 0.254 0.261 0.000  -0.07
P: 0.742 0.087 0.345  -0.07
U: 0.500 0.500 0.000  1.99
U: 0.500 0.163 0.675  2.00
U: 0.000 0.333 0.335  2.04
U: 0.000 0.667 0.665  2.04
U: 0.500 0.837 0.325  2.00
La: 0.000 0.000 0.000  0.01

Below is an optimized crystal structure of La3UP4, with properties calculated at the PBE level.

The calculation puts the density of states at the Fermi level at 8.12 states/eV per cell. The value obtained for the volume is 25.842 Å³/atom. The total energy is -7.3576 eV per atom. The value obtained for the formation enthalpy at 0 K is -1394 meV per atom. The calculation puts the total magnetization at 0.264 μB/atom.

a b c (Å): 4.165 7.250 7.250
angles (deg): 109.20 90.00 90.00
Last column: magnetic moment on the atom in μB.
Positions (direct):
La: 0.000 0.000 0.500  0.01
La: 0.000 0.500 0.000  0.01
La: 0.500 0.500 0.500  0.03
P: 0.500 0.238 0.762  -0.03
P: 0.000 0.768 0.768  -0.05
P: 0.500 0.762 0.238  -0.03
P: 0.000 0.232 0.232  -0.05
U: 0.500 0.000 0.000  1.96